YPtSe2N: optimized geometry, GGA-PBE.

a b c (Å): 5.210 5.210 3.761
angles (deg): 90.00 90.00 90.00
Sites, in units of the cell vectors:
1 Y 0.500 0.500 0.500
2 Se 0.000 0.500 0.000
3 Se 0.500 0.000 0.000
4 Pt 0.000 0.000 0.000
5 N 0.000 0.000 0.500

energy relative to the lowest polymorph listed for this composition: 0.0 kJ/mol of atoms
density: 7.4 g cm⁻³
total energy: -5.842 eV/atom
crystal system: tetragonal
formation energy from raw total energies: -0.282 eV/atom

YPtSe2N: optimized geometry, GGA-PBE.

a b c (Å): 5.452 5.452 4.294
angles (deg): 90.00 90.00 90.00
Each line ends with the local moment (μB).
Sites, in units of the cell vectors:
1 Y 0.000 0.000 0.000  0.05
2 Se 0.000 0.500 0.000  0.18
3 Se 0.500 0.000 0.000  0.18
4 Pt 0.500 0.500 0.500  0.23
5 N 0.000 0.000 0.500  1.12

energy relative to the lowest polymorph listed for this composition: 95.8 kJ/mol of atoms
density: 5.9 g cm⁻³
total energy: -4.849 eV/atom
crystal system: tetragonal
formation energy from raw total energies: 0.711 eV/atom

ZnPtSeN2: optimized geometry, GGA-PBE.

a b c (Å): 3.715 3.715 8.798
angles (deg): 90.00 90.00 90.00
Sites, in units of the cell vectors:
1 Zn 0.500 0.500 0.500
2 Se 0.000 0.000 0.500
3 Pt 0.000 0.000 0.000
4 N 0.000 0.500 0.000
5 N 0.500 0.000 0.000

energy relative to the lowest polymorph listed for this composition: 0.0 kJ/mol of atoms
density: 5.0 g cm⁻³
total energy: -4.545 eV/atom
crystal system: tetragonal
formation energy from raw total energies: 0.945 eV/atom

ZnPtSe2N: optimized geometry, GGA-PBE.

a b c (Å): 5.028 5.028 3.535
angles (deg): 90.00 90.00 90.00
Sites, in units of the cell vectors:
1 Zn 0.000 0.000 0.000
2 Se 0.000 0.500 0.000
3 Se 0.500 0.000 0.000
4 Pt 0.500 0.500 0.500
5 N 0.000 0.000 0.500

energy relative to the lowest polymorph listed for this composition: 55.5 kJ/mol of atoms
density: 8.0 g cm⁻³
total energy: -3.389 eV/atom
crystal system: tetragonal
formation energy from raw total energies: 1.133 eV/atom

ZnPtSeN2: optimized geometry, GGA-PBE.

a b c (Å): 3.775 3.775 5.855
angles (deg): 90.00 90.00 90.00
Each line ends with the local moment (μB).
Sites, in units of the cell vectors:
1 Zn 0.000 0.000 0.000  0.08
2 Se 0.000 0.000 0.500  0.13
3 Pt 0.500 0.500 0.500  0.18
4 N 0.000 0.500 0.000  1.09
5 N 0.500 0.000 0.000  1.09

energy relative to the lowest polymorph listed for this composition: 62.2 kJ/mol of atoms
density: 7.3 g cm⁻³
total energy: -3.900 eV/atom
crystal system: tetragonal
formation energy from raw total energies: 1.590 eV/atom

ZnPtSe2N: optimized geometry, GGA-PBE.

a b c (Å): 5.260 5.260 3.657
angles (deg): 90.00 90.00 90.00
Sites, in units of the cell vectors:
1 Zn 0.500 0.500 0.500
2 Se 0.000 0.500 0.000
3 Se 0.500 0.000 0.000
4 Pt 0.000 0.000 0.000
5 N 0.000 0.000 0.500

energy relative to the lowest polymorph listed for this composition: 0.0 kJ/mol of atoms
density: 7.1 g cm⁻³
total energy: -3.964 eV/atom
crystal system: tetragonal
formation energy from raw total energies: 0.558 eV/atom

ZrPtSeN2: optimized geometry, GGA-PBE.

a b c (Å): 3.975 3.975 4.969
angles (deg): 90.00 90.00 90.00
Sites, in units of the cell vectors:
1 Se 0.000 0.000 0.500
2 Zr 0.500 0.500 0.500
3 Pt 0.000 0.000 0.000
4 N 0.000 0.500 0.000
5 N 0.500 0.000 0.000

energy relative to the lowest polymorph listed for this composition: 8.6 kJ/mol of atoms
density: 8.3 g cm⁻³
total energy: -6.106 eV/atom
crystal system: tetragonal
formation energy from raw total energies: 0.838 eV/atom

ZrPtSeN2: optimized geometry, GGA-PBE.

a b c (Å): 4.055 4.055 5.736
angles (deg): 90.00 90.00 90.00
Each line ends with the local moment (μB).
Sites, in units of the cell vectors:
1 Se 0.000 0.000 0.500  0.03
2 Zr 0.000 0.000 0.000  -0.02
3 Pt 0.500 0.500 0.500  0.20
4 N 0.000 0.500 0.000  0.13
5 N 0.500 0.000 0.000  0.13

energy relative to the lowest polymorph listed for this composition: 0.0 kJ/mol of atoms
density: 6.9 g cm⁻³
total energy: -6.195 eV/atom
crystal system: tetragonal
formation energy from raw total energies: 0.750 eV/atom

SiPtN: optimized geometry, GGA-PBE.

a b c (Å): 2.929 4.758 6.437
angles (deg): 104.72 76.45 72.52
Sites, in units of the cell vectors:
1 Pt 0.721 0.680 0.884
2 Pt 0.279 0.320 0.116
3 N 0.078 0.214 0.632
4 N 0.922 0.786 0.368
5 Si 0.638 0.029 0.690
6 Si 0.362 0.971 0.310

density: 10.1 g cm⁻³
total energy: -7.062 eV/atom
crystal system: triclinic
formation energy from raw total energies: -0.466 eV/atom

SiPtN3: optimized geometry, GGA-PBE.

a b c (Å): 3.916 3.916 3.916
angles (deg): 90.00 90.00 90.00
Each line ends with the local moment (μB).
Sites, in units of the cell vectors:
1 Si 0.500 0.500 0.500  -0.02
2 Pt 0.000 0.000 0.000  0.20
3 N 0.000 0.500 0.000  0.44
4 N 0.000 0.000 0.500  0.24
5 N 0.500 0.000 0.000  0.54

density: 7.3 g cm⁻³
total energy: -5.319 eV/atom
crystal system: cubic
formation energy from raw total energies: 1.969 eV/atom

SiPtN3: optimized geometry, GGA-PBE.

a b c (Å): 3.602 3.602 3.602
angles (deg): 90.00 90.00 90.00
Sites, in units of the cell vectors:
1 Si 0.000 0.000 0.000
2 Pt 0.500 0.500 0.500
3 N 0.000 0.500 0.000
4 N 0.000 0.000 0.500
5 N 0.500 0.000 0.000

density: 9.4 g cm⁻³
total energy: -6.303 eV/atom
crystal system: cubic
formation energy from raw total energies: 0.985 eV/atom

Si2PtN: optimized geometry, GGA-PBE.

a b c (Å): 5.096 5.096 5.646
angles (deg): 63.17 63.17 90.00
Sites, in units of the cell vectors:
1 Si 0.557 0.125 0.250
2 Si 0.193 0.625 0.250
3 Si 0.375 0.443 0.750
4 Si 0.875 0.807 0.750
5 Pt 0.000 0.000 0.000
6 Pt 0.750 0.250 0.500
7 N 0.500 0.500 0.000
8 N 0.250 0.750 0.500

density: 7.8 g cm⁻³
total energy: -6.646 eV/atom
crystal system: tetragonal
formation energy from raw total energies: -0.343 eV/atom

SiPt3N: optimized geometry, GGA-PBE.

a b c (Å): 4.213 4.213 4.213
angles (deg): 90.00 90.00 90.00
Sites, in units of the cell vectors:
1 Si 0.500 0.500 0.500
2 Pt 0.000 0.500 0.000
3 Pt 0.000 0.000 0.500
4 Pt 0.500 0.000 0.000
5 N 0.000 0.000 0.000

energy relative to the lowest polymorph listed for this composition: 0.0 kJ/mol of atoms
density: 13.9 g cm⁻³
total energy: -5.738 eV/atom
crystal system: cubic
formation energy from raw total energies: 0.637 eV/atom

SiSnPtN2: optimized geometry, GGA-PBE.

a b c (Å): 3.841 7.448 3.841
angles (deg): 90.00 90.00 90.00
Each line ends with the local moment (μB).
Sites, in units of the cell vectors:
1 Si 0.000 0.500 0.000  0.02
2 Sn 0.000 0.000 0.000  -0.01
3 Pt 0.500 0.500 0.500  0.09
4 N 0.000 0.000 0.500  0.43
5 N 0.500 0.000 0.000  0.57

density: 5.6 g cm⁻³
total energy: -4.724 eV/atom
crystal system: tetragonal
formation energy from raw total energies: 1.700 eV/atom

SiTePtN2: optimized geometry, GGA-PBE.

a b c (Å): 3.570 3.570 7.634
angles (deg): 90.00 90.00 90.00
Sites, in units of the cell vectors:
1 Si 0.000 0.000 0.000
2 Te 0.000 0.000 0.500
3 Pt 0.500 0.500 0.500
4 N 0.000 0.500 0.000
5 N 0.500 0.000 0.000

energy relative to the lowest polymorph listed for this composition: 0.0 kJ/mol of atoms
density: 6.5 g cm⁻³
total energy: -5.527 eV/atom
crystal system: tetragonal
formation energy from raw total energies: 0.724 eV/atom

SiTe2PtN: optimized geometry, GGA-PBE.

a b c (Å): 5.579 5.579 3.681
angles (deg): 90.00 90.00 90.00
Sites, in units of the cell vectors:
1 Si 0.500 0.500 0.500
2 Te 0.000 0.500 0.000
3 Te 0.500 0.000 0.000
4 Pt 0.000 0.000 0.000
5 N 0.000 0.000 0.500

energy relative to the lowest polymorph listed for this composition: 34.9 kJ/mol of atoms
density: 7.1 g cm⁻³
total energy: -4.546 eV/atom
crystal system: tetragonal
formation energy from raw total energies: 0.669 eV/atom

SiTePtN2: optimized geometry, GGA-PBE.

a b c (Å): 3.790 3.790 8.654
angles (deg): 90.00 90.00 90.00
Sites, in units of the cell vectors:
1 Si 0.500 0.500 0.500
2 Te 0.000 0.000 0.500
3 Pt 0.000 0.000 0.000
4 N 0.000 0.500 0.000
5 N 0.500 0.000 0.000

energy relative to the lowest polymorph listed for this composition: 50.8 kJ/mol of atoms
density: 5.1 g cm⁻³
total energy: -5.001 eV/atom
crystal system: tetragonal
formation energy from raw total energies: 1.251 eV/atom

SiTe2PtN: optimized geometry, GGA-PBE.

a b c (Å): 5.449 5.449 3.233
angles (deg): 90.00 90.00 90.00
Sites, in units of the cell vectors:
1 Si 0.000 0.000 0.000
2 Te 0.000 0.500 0.000
3 Te 0.500 0.000 0.000
4 Pt 0.500 0.500 0.500
5 N 0.000 0.000 0.500

energy relative to the lowest polymorph listed for this composition: 0.0 kJ/mol of atoms
density: 8.5 g cm⁻³
total energy: -4.907 eV/atom
crystal system: tetragonal
formation energy from raw total energies: 0.307 eV/atom

YSiPt2N: optimized geometry, GGA-PBE.

a b c (Å): 4.838 3.598 4.838
angles (deg): 90.00 90.00 90.00
Sites, in units of the cell vectors:
1 Y 0.500 0.500 0.500
2 Si 0.000 0.000 0.000
3 Pt 0.000 0.000 0.500
4 Pt 0.500 0.000 0.000
5 N 0.000 0.500 0.000

density: 10.3 g cm⁻³
total energy: -6.761 eV/atom
crystal system: tetragonal
formation energy from raw total energies: -0.302 eV/atom

Sm3PtN: optimized geometry, GGA-PBE.

a b c (Å): 4.840 4.840 4.840
angles (deg): 90.00 90.00 90.00
Sites, in units of the cell vectors:
1 Sm 0.000 0.500 0.000
2 Sm 0.000 0.000 0.500
3 Sm 0.500 0.000 0.000
4 Pt 0.500 0.500 0.500
5 N 0.000 0.000 0.000

density: 9.7 g cm⁻³
total energy: -6.599 eV/atom
crystal system: cubic
formation energy from raw total energies: -0.895 eV/atom

Sm12Pt3N5: optimized geometry, GGA-PBE.

a b c (Å): 13.540 13.540 13.540
angles (deg): 109.47 109.47 109.47
Sites, in units of the cell vectors:
1 Pt 0.750 0.375 0.125
2 Pt 0.875 0.750 0.125
3 Pt 0.375 0.750 0.625
4 Pt 0.250 0.125 0.375
5 Pt 0.875 0.125 0.250
6 Pt 0.375 0.625 0.250
7 Pt 0.625 0.375 0.750
8 Pt 0.125 0.875 0.750
9 Pt 0.750 0.875 0.625
10 Pt 0.625 0.250 0.375
11 Pt 0.125 0.250 0.875
12 Pt 0.250 0.625 0.875
13 N 0.125 0.375 0.250
14 N 0.000 0.500 0.000
15 N 0.000 0.000 0.000
16 N 0.375 0.250 0.125
17 N 0.500 0.000 0.500
18 N 0.500 0.500 0.000
19 N 0.125 0.750 0.375
20 N 0.750 0.125 0.875
21 N 0.750 0.625 0.375
22 N 0.375 0.125 0.750
23 N 0.625 0.875 0.250
24 N 0.500 0.500 0.500
25 N 0.500 0.000 0.000
26 N 0.000 0.000 0.500
27 N 0.250 0.375 0.625
28 N 0.250 0.875 0.125
29 N 0.000 0.500 0.500
30 N 0.875 0.250 0.625
31 N 0.625 0.750 0.875
32 N 0.875 0.625 0.750
33 Sm 0.704 0.118 0.022
34 Sm 0.318 0.522 0.404
35 Sm 0.978 0.382 0.296
36 Sm 0.522 0.204 0.118
37 Sm 0.586 0.704 0.682
38 Sm 0.978 0.596 0.182
39 Sm 0.318 0.796 0.414
40 Sm 0.096 0.914 0.118
41 Sm 0.596 0.978 0.682
42 Sm 0.704 0.586 0.182
43 Sm 0.796 0.478 0.382
44 Sm 0.818 0.904 0.022
45 Sm 0.118 0.704 0.522
46 Sm 0.382 0.404 0.086
47 Sm 0.086 0.904 0.382
48 Sm 0.414 0.118 0.596
49 Sm 0.086 0.182 0.204
50 Sm 0.478 0.682 0.096
51 Sm 0.818 0.914 0.296
52 Sm 0.118 0.414 0.096
53 Sm 0.382 0.978 0.796
54 Sm 0.596 0.618 0.414
55 Sm 0.904 0.818 0.522
56 Sm 0.796 0.318 0.914
57 Sm 0.404 0.382 0.586
58 Sm 0.096 0.182 0.478
59 Sm 0.204 0.682 0.086
60 Sm 0.182 0.086 0.704
61 Sm 0.618 0.022 0.204
62 Sm 0.882 0.586 0.904
63 Sm 0.522 0.318 0.904
64 Sm 0.586 0.882 0.404
65 Sm 0.914 0.818 0.796
66 Sm 0.914 0.096 0.618
67 Sm 0.882 0.296 0.478
68 Sm 0.182 0.096 0.978
69 Sm 0.618 0.596 0.914
70 Sm 0.404 0.022 0.318
71 Sm 0.296 0.414 0.818
72 Sm 0.204 0.522 0.618
73 Sm 0.904 0.086 0.882
74 Sm 0.682 0.204 0.586
75 Sm 0.478 0.796 0.882
76 Sm 0.022 0.404 0.818
77 Sm 0.414 0.296 0.318
78 Sm 0.022 0.618 0.704
79 Sm 0.682 0.478 0.596
80 Sm 0.296 0.882 0.978

density: 8.5 g cm⁻³
total energy: -6.796 eV/atom
crystal system: cubic
formation energy from raw total energies: -0.977 eV/atom

Sm4Pt2N: optimized geometry, GGA-PBE.

a b c (Å): 4.798 4.798 8.053
angles (deg): 72.67 72.67 90.00
Sites, in units of the cell vectors:
1 Sm 0.178 0.178 0.645
2 Sm 0.822 0.822 0.355
3 Sm 0.000 0.500 0.000
4 Sm 0.500 0.000 0.000
5 Pt 0.370 0.370 0.261
6 Pt 0.630 0.630 0.739
7 N 0.000 0.000 0.000

density: 9.9 g cm⁻³
total energy: -6.608 eV/atom
crystal system: tetragonal
formation energy from raw total energies: -0.996 eV/atom

SmPtN: optimized geometry, GGA-PBE.

a b c (Å): 3.415 3.656 8.511
angles (deg): 90.00 101.57 90.00
Each line ends with the local moment (μB).
Sites, in units of the cell vectors:
1 N 0.434 0.750 0.867  0.10
2 N 0.566 0.250 0.133  0.10
3 Pt 0.764 0.750 0.528  0.01
4 Pt 0.236 0.250 0.472  0.01
5 Sm 0.912 0.250 0.825  -0.01
6 Sm 0.088 0.750 0.175  -0.01

density: 11.5 g cm⁻³
total energy: -6.819 eV/atom
crystal system: orthorhombic
formation energy from raw total energies: -0.457 eV/atom